GaHg3F after structural relaxation. Source: the Alexandria database, functional GGA-PBE.

Computed properties:
The value obtained for the calculated density is 8079 kg/m³. The calculation puts the excess energy over the best structure of this formula in the dataset at 0.53 eV/f.u. For the density of states at the Fermi level, the calculation gives 0.83 states/eV/f.u. The magnetization is 0.000 μB/atom.

Structure (extended XYZ):
```
5
Lattice="-4.947 0.635 1.528 0.835 -3.201 4.033 1.428 4.069 2.934" Properties=species:S:1:pos:R:3 pbc="T T T"
Hg 0.417 -1.601 2.016
Hg 0.714 2.035 1.467
Hg -2.473 0.317 0.764
Ga -1.342 0.751 4.248
F 0.000 0.000 0.000
```